Compound: Dy2HoNi2
Source: the Open Quantum Materials Database
Functional: PBE
Structure: relaxed

Calculated values
The value obtained for the spin magnetization is 0.76 μB per cell. The calculation puts the energy of formation at -183.0 kJ/mol of formula units. The total DFT energy (no corrections) comes out at -5.362 eV per atom.

Cell lengths 13.240, 3.633, 9.462 Å; angles 90.00, 105.40, 90.00 degrees
Space group C2/m (No. 12)
Inequivalent atoms, fractional coordinates:
Dy1 0.097 0.000 0.173 [4 per cell]
Dy2 0.144 0.500 0.868 [4 per cell]
Ho1 0.132 0.500 0.498 [4 per cell]
Ni1 0.035 0.000 0.644 [4 per cell]
Ni2 0.244 0.000 0.727 [4 per cell]

***

Compound: MgFeReAs
Source: the Open Quantum Materials Database
Functional: PBE
Structure: relaxed

Calculated values
The value obtained for the spin magnetization is 5.10 μB per cell. The total DFT energy (no corrections) comes out at -6.319 eV per atom. For the energy above the most stable polymorph in this dataset, the calculation gives 0 meV per atom.

Cell lengths 6.062, 6.062, 6.062 Å; angles 90.00, 90.00, 90.00 degrees
Space group F-43m (No. 216)
Inequivalent atoms, fractional coordinates:
Mg1 0.000 0.000 0.000 [4 per cell]
Fe1 0.250 0.250 0.750 [4 per cell]
Re1 0.250 0.250 0.250 [4 per cell]
As1 0.000 0.000 0.500 [4 per cell]

***

Compound: PrHoZr2Sb2
Source: the Open Quantum Materials Database
Functional: PBE
Structure: relaxed

Calculated values
The value obtained for the spin magnetization is 0.07 μB per cell. The total DFT energy (no corrections) comes out at -6.575 eV per atom.

Cell lengths 4.319, 4.319, 16.898 Å; angles 90.00, 90.00, 90.00 degrees
Space group I4mm (No. 107)
Inequivalent atoms, fractional coordinates:
Pr1 0.000 0.000 0.000 [2 per cell]
Ho1 0.000 0.000 0.354 [2 per cell]
Zr1 0.000 0.500 0.180 [4 per cell]
Sb1 0.000 0.000 0.550 [2 per cell]
Sb2 0.000 0.000 0.809 [2 per cell]

***

Compound: Mo2AsC
Source: the Open Quantum Materials Database
Functional: PBE
Structure: relaxed

Calculated values
The value obtained for the spin magnetization is 0.02 μB per cell. The total DFT energy (no corrections) comes out at -8.940 eV per atom.

Cell lengths 9.580, 5.531, 12.719 Å; angles 90.00, 104.69, 90.00 degrees
Space group C2/c (No. 15)
Inequivalent atoms, fractional coordinates:
Mo1 0.052 0.083 0.410 [8 per cell]
Mo2 0.113 0.415 0.589 [8 per cell]
Mo3 0.221 0.419 0.911 [8 per cell]
As1 0.000 0.418 0.250 [4 per cell]
As2 0.167 0.085 0.750 [8 per cell]
C1 0.084 0.251 0.000 [8 per cell]
C2 0.250 0.250 0.500 [4 per cell]

***

Compound: TbTlCdS3
Source: the Open Quantum Materials Database
Functional: PBE
Structure: relaxed

Calculated values
The value obtained for the spin magnetization is 0.01 μB per cell. The total DFT energy (no corrections) comes out at -4.439 eV per atom. For the energy above the most stable polymorph in this dataset, the calculation gives 63 meV per atom.

Cell lengths 7.879, 4.369, 16.435 Å; angles 90.00, 90.00, 90.00 degrees
Space group Pnma (No. 62)
Inequivalent atoms, fractional coordinates:
Tb1 0.236 0.250 0.038 [4 per cell]
Tl1 0.050 0.250 0.804 [4 per cell]
Cd1 0.101 0.250 0.346 [4 per cell]
S1 0.002 0.250 0.580 [4 per cell]
S2 0.126 0.750 0.950 [4 per cell]
S3 0.235 0.250 0.205 [4 per cell]

***

Compound: Nb3Co2
Source: the Open Quantum Materials Database
Functional: PBE
Structure: relaxed

Calculated values
The value obtained for the spin magnetization is 0.31 μB per cell. The calculation puts the energy of formation at 66.2 kJ/mol of formula units. The total DFT energy (no corrections) comes out at -8.762 eV per atom.

Cell lengths 6.8062, 6.8062, 11.8087 Å; angles 90.00, 90.00, 120.00 degrees
Space group R-3c (No. 167, hexagonal axes)
Inequivalent atoms, fractional coordinates:
Nb1 0.0000 0.2748 0.2500 [18 per cell]
Co1 0.0000 0.0000 0.0945 [12 per cell]

***

Compound: Gd4B4O11F2
Source: the Open Quantum Materials Database
Functional: PBE
Structure: relaxed

Calculated values
The value obtained for the spin magnetization is 0.00 μB per cell. The total DFT energy (no corrections) comes out at -8.083 eV per atom.

Cell lengths 13.459, 4.609, 13.650 Å; angles 90.00, 91.40, 90.00 degrees
Space group C2/c (No. 15)
Inequivalent atoms, fractional coordinates:
Gd1 0.059 0.021 0.370 [8 per cell]
Gd2 0.220 0.019 0.129 [8 per cell]
B1 0.094 0.477 0.214 [8 per cell]
B2 0.095 0.455 0.524 [8 per cell]
O1 0.000 0.345 0.250 [4 per cell]
O2 0.079 0.163 0.535 [8 per cell]
O3 0.087 0.365 0.105 [8 per cell]
O4 0.099 0.217 0.724 [8 per cell]
O5 0.114 0.441 0.932 [8 per cell]
O6 0.176 0.315 0.257 [8 per cell]
F1 0.231 0.025 0.424 [8 per cell]

***

Compound: GaReO4
Source: the Open Quantum Materials Database
Functional: PBE
Structure: relaxed

Calculated values
The value obtained for the spin magnetization is 6.56 μB per cell. The total DFT energy (no corrections) comes out at -7.409 eV per atom.

Cell lengths 6.448, 6.448, 6.139 Å; angles 90.00, 90.00, 90.00 degrees
Space group I4_1md (No. 109)
Inequivalent atoms, fractional coordinates:
Ga1 0.000 0.000 0.000 [4 per cell]
Re1 0.000 0.000 0.511 [4 per cell]
O1 0.000 0.304 0.003 [8 per cell]
O2 0.000 0.304 0.511 [8 per cell]

***

Compound: Pr2Co7
Source: the Open Quantum Materials Database
Functional: PBE
Structure: relaxed

Calculated values
The value obtained for the spin magnetization is 12.96 μB per cell. The calculation puts the energy of formation at 23.7 kJ/mol of formula units. The total DFT energy (no corrections) comes out at -6.561 eV per atom. For the energy above the most stable polymorph in this dataset, the calculation gives 41 meV per atom.

Cell lengths 5.0481, 5.0481, 24.3829 Å; angles 90.00, 90.00, 120.00 degrees
Space group P6_3/mmc (No. 194)
Inequivalent atoms, fractional coordinates:
Pr1 0.3333 0.6667 0.0276 [4 per cell]
Pr2 0.3333 0.6667 0.1729 [4 per cell]
Co1 0.0000 0.0000 0.0000 [2 per cell]
Co2 0.0000 0.0000 0.1688 [4 per cell]
Co3 0.1649 0.3299 0.5887 [12 per cell]
Co4 0.1662 0.3325 0.7500 [6 per cell]
Co5 0.3333 0.6667 0.6686 [4 per cell]

***

Compound: Nd2SnPb
Source: the Open Quantum Materials Database
Functional: PBE
Structure: relaxed

Calculated values
The value obtained for the spin magnetization is 0.01 μB per cell. The total DFT energy (no corrections) comes out at -4.978 eV per atom.

Cell lengths 4.514, 4.563, 11.870 Å; angles 90.00, 90.00, 90.00 degrees
Space group Amm2 (No. 38)
Inequivalent atoms, fractional coordinates:
Nd1 0.000 0.000 0.000 [2 per cell]
Nd2 0.500 0.000 0.273 [2 per cell]
Sn1 0.000 0.000 0.729 [2 per cell]
Pb1 0.500 0.000 0.545 [2 per cell]

***

Compound: Fe2CuS4
Source: the Open Quantum Materials Database
Functional: PBE
Structure: relaxed

Calculated values
The value obtained for the spin magnetization is 1.12 μB per cell. The total DFT energy (no corrections) comes out at -5.531 eV per atom.

Cell lengths 6.728, 6.728, 9.380 Å; angles 90.00, 90.00, 90.00 degrees
Space group P4_122 (No. 91)
Inequivalent atoms, fractional coordinates:
Fe1 0.000 0.243 0.000 [4 per cell]
Fe2 0.254 0.254 0.375 [4 per cell]
Cu1 0.243 0.500 0.750 [4 per cell]
S1 0.003 0.237 0.757 [8 per cell]
S2 0.236 0.485 0.000 [8 per cell]

***

Compound: FeB2C2
Source: the Open Quantum Materials Database
Functional: PBE
Structure: relaxed

Calculated values
The value obtained for the spin magnetization is 14.07 μB per cell. The total DFT energy (no corrections) comes out at -7.506 eV per atom.

Cell lengths 5.259, 5.259, 6.191 Å; angles 90.00, 90.00, 90.00 degrees
Space group I4/mcm (No. 140)
Inequivalent atoms, fractional coordinates:
Fe1 0.000 0.000 0.250 [4 per cell]
B1 0.137 0.363 0.000 [8 per cell]
C1 0.161 0.339 0.500 [8 per cell]

***

total DFT energy (no corrections) of number 11 (Fe2CuS4)?
-5.531 eV per atom

***

Look up the total DFT energy (no corrections) of the seventh one.
-8.083 eV per atom